Computed, not measured: an optimized crystal structure of Pm2Ho2Al3 at the PBE level of DFT.

Unit cell a=3.455 b=3.448 c=15.457 alpha=90.00 beta=83.58 gamma=90.00
Last column: magnetic moment on the atom in μB.
Sites, in units of the cell vectors:
Pm 0.567 0.500 0.865  0.01
Pm 0.433 0.500 0.135  0.01
Ho 0.698 0.500 0.603  0.07
Ho 0.302 0.500 0.397  0.07
Al 0.863 0.000 0.274  0.00
Al 0.000 0.000 0.000  0.00
Al 0.137 0.000 0.726  0.00

## Properties
As for the formation energy: -0.2496 eV per atom. For the size of the total moment, the calculation gives 0.2 μB per formula unit.


Computed, not measured: an optimized crystal structure of Pm2HoAl6 at the PBE level of DFT.

Unit cell a=3.584 b=7.954 c=7.954 alpha=120.00 beta=90.00 gamma=90.00
Sites, in units of the cell vectors:
Pm 0.000 0.333 0.667
Pm 0.000 0.667 0.333
Ho 0.000 0.000 0.000
Al 0.500 0.331 0.331
Al 0.500 0.669 0.669
Al 0.500 0.000 0.669
Al 0.500 0.669 0.000
Al 0.500 0.331 0.000
Al 0.500 0.000 0.331

## Properties
As for the formation energy: -0.4821 eV per atom. For the size of the total moment, the calculation gives 0.0 μB per formula unit.


Computed, not measured: an optimized crystal structure of PmHo2Al9 at the PBE level of DFT.

Unit cell a=5.585 b=5.585 c=9.332 alpha=72.59 beta=72.59 gamma=60.00
Sites, in units of the cell vectors:
Pm 0.000 0.000 0.000
Ho 0.858 0.858 0.426
Ho 0.142 0.142 0.574
Al 0.664 0.664 0.007
Al 0.336 0.336 0.993
Al 0.500 0.500 0.500
Al 0.412 0.412 0.252
Al 0.924 0.412 0.252
Al 0.412 0.924 0.252
Al 0.588 0.588 0.748
Al 0.588 0.076 0.748
Al 0.076 0.588 0.748

## Properties
As for the formation energy: -0.3841 eV per atom. For the size of the total moment, the calculation gives 0.0 μB per formula unit.


Computed, not measured: an optimized crystal structure of Pm2Ho3Al2 at the PBE level of DFT.

Unit cell a=5.318 b=5.314 c=8.484 alpha=108.30 beta=90.00 gamma=120.02
Sites, in units of the cell vectors:
Pm 0.915 0.829 0.245
Pm 0.085 0.171 0.755
Ho 0.500 0.000 0.000
Ho 0.652 0.304 0.456
Ho 0.348 0.696 0.544
Al 0.780 0.561 0.841
Al 0.220 0.439 0.159

## Properties
As for the formation energy: -0.1952 eV per atom. For the size of the total moment, the calculation gives 0.0 μB per formula unit.